4
Lattice="-3.445 2.723 -2.266 -0.995 -0.754 -4.781 -4.290 -2.056 -1.337" Properties=species:S:1:pos:R:3 comment="LiDyYTc (PBE, optimized geometry)" space_group="F-43m, No. 216" dos_at_fermi_per_ev_cell=3.8 delta_e_f_ev_per_atom=-0.02 pbc="T T T"
Li 0.000 0.000 0.000
Dy -2.182 -0.022 -2.096
Tc -4.364 -0.043 -4.192
Y -6.547 -0.065 -6.288